Record 1
Compound: Dy4Ho3Th2
Source: Alexandria
Functional: PBE-GGA
Structure: optimized geometry

Cell: 3.5470 3.5470 26.3698 Å, 90.00 90.00 120.00°
Last column: nearest neighbours and their distance in Å.
Element x y z (fractional)
Dy (0.6667, 0.3333, 0.4348)  9 Dy 3.51-3.55, 3 Ho 3.51
Dy (0.0000, 0.0000, 0.5429)  3 Ho 3.50, 9 Dy 3.51-3.55
Dy (0.0000, 0.0000, 0.7592)  3 Ho 3.52, 6 Dy 3.55, 3 Th 3.56
Dy (0.6667, 0.3333, 0.2207)  1 Th 3.40, 3 Ho 3.46, 6 Dy 3.55
Ho (0.0000, 0.0000, 0.3265)  6 Dy 3.46-3.51, 6 Ho 3.55
Ho (0.0000, 0.0000, 0.9812)  6 Ho 3.55, 6 Th 3.56-3.59
Ho (0.6667, 0.3333, 0.6506)  6 Dy 3.50-3.52, 6 Ho 3.55
Th (0.6667, 0.3333, 0.8696)  6 Th 3.55, 3 Dy 3.56, 3 Ho 3.59
Th (0.6667, 0.3333, 0.0917)  1 Dy 3.40, 6 Th 3.55, 3 Ho 3.56

Values from the calculation:
Its formation enthalpy at 0 K is 67 meV/atom. The energy above the most stable polymorph in this dataset is 71 meV/atom.

---

Record 2
Compound: TaIr2W
Source: Alexandria
Functional: PBE-GGA
Structure: optimized geometry

Cell: 2.8009 2.8009 8.0907 Å, 90.00 90.00 90.01°
Last column: nearest neighbours and their distance in Å.
Element x y z (fractional)
Ir (0.0000, 0.0000, 0.9985)  4 W 2.73, 8 Ir 2.80-2.81
Ir (0.5000, 0.5000, 0.2456)  4 Ta 2.79-2.80, 8 Ir 2.80-2.81
Ta (0.0000, 0.0000, 0.4894)  4 Ir 2.79-2.80, 4 Ta 2.80, 4 W 2.99
W (0.5000, 0.5000, 0.7665)  4 Ir 2.73, 4 W 2.80, 4 Ta 2.99

Values from the calculation:
Its formation enthalpy at 0 K is -150 meV/atom. The energy above the most stable polymorph in this dataset is 308 meV/atom.

---

Record 3
Compound: Tc2Sn2Hg
Source: Alexandria
Functional: PBE-GGA
Structure: optimized geometry

Cell: 7.4315 7.4315 3.4594 Å, 90.00 90.00 90.00°
Last column: nearest neighbours and their distance in Å.
Element x y z (fractional)
Sn (0.8466, 0.3466, 0.5000)  6 Tc 2.75-2.80
Sn (0.1534, 0.6534, 0.5000)  6 Tc 2.75-2.80
Sn (0.3466, 0.1534, 0.5000)  6 Tc 2.75-2.80
Sn (0.6534, 0.8466, 0.5000)  6 Tc 2.75-2.80
Tc (0.1429, 0.3571, 0.0000)  6 Sn 2.75-2.80, 2 Hg 2.86, 1 Tc 3.00
Tc (0.3571, 0.8571, 0.0000)  6 Sn 2.75-2.80, 2 Hg 2.86, 1 Tc 3.00
Tc (0.6429, 0.1429, 0.0000)  6 Sn 2.75-2.80, 2 Hg 2.86, 1 Tc 3.00
Tc (0.8571, 0.6429, 0.0000)  6 Sn 2.75-2.80, 2 Hg 2.86, 1 Tc 3.00
Hg (0.5000, 0.5000, 0.0000)  4 Tc 2.86
Hg (0.0000, 0.0000, 0.0000)  4 Tc 2.86

Values from the calculation:
Its formation enthalpy at 0 K is 191 meV/atom. The energy above the most stable polymorph in this dataset is 0 meV/atom.

---

Record 4
Compound: BaFe2Ir
Source: Alexandria
Functional: PBE-GGA
Structure: optimized geometry

Cell: 5.9811 5.9811 5.9811 Å, 150.17 126.12 62.81°
Last column: nearest neighbours and their distance in Å.
Element x y z (fractional)
Fe (0.5511, 0.5511, 0.0000)  2 Ir 2.55
Fe (0.9489, 0.9489, 0.0000)  2 Ir 2.55
Ir (0.7500, 0.2500, 0.5000)  4 Fe 2.55
Ba (0.2500, 0.7500, 0.5000)  2 Ba 3.08, 4 Ir 3.12, 8 Fe 3.39-3.44

Values from the calculation:
Its formation enthalpy at 0 K is 726 meV/atom.

---

Record 5
Compound: Ca2AlSi
Source: Alexandria
Functional: PBE-GGA
Structure: optimized geometry

Cell: 8.0388 8.0388 8.0388 Å, 29.99 29.99 29.99°
Last column: nearest neighbours and their distance in Å.
Element x y z (fractional)
Ca (0.2211, 0.2211, 0.2211)  3 Al 3.13, 3 Si 3.43
Ca (0.0303, 0.0303, 0.0303)  3 Si 3.09, 3 Al 3.39
Si (0.4479, 0.4479, 0.4479)  3 Al 2.44
Al (0.8007, 0.8007, 0.8007)  3 Si 2.44

Values from the calculation:
The raw formation energy is -274 meV/atom.

---

Record 6
Compound: Pr6PuS8
Source: Alexandria
Functional: PBE-GGA
Structure: optimized geometry

Cell: 8.1837 8.1837 8.1837 Å, 60.00 60.00 60.00°
Last column: nearest neighbours and their distance in Å.
Element x y z (fractional)
Pr (0.5000, 0.5000, 0.0000)  6 S 2.89
Pr (0.0000, 0.0000, 0.5000)  6 S 2.89
Pr (0.5000, 0.0000, 0.0000)  6 S 2.89
Pr (0.0000, 0.5000, 0.5000)  6 S 2.89
Pr (0.5000, 0.0000, 0.5000)  6 S 2.89
Pr (0.0000, 0.5000, 0.0000)  6 S 2.89
S (0.2443, 0.7557, 0.2443)  1 Pu 2.83, 4 Pr 2.89
S (0.7557, 0.2443, 0.7557)  1 Pu 2.83, 4 Pr 2.89
S (0.7557, 0.7557, 0.2443)  1 Pu 2.83, 4 Pr 2.89
S (0.7500, 0.7500, 0.7500)  6 Pr 2.89
S (0.2500, 0.2500, 0.2500)  6 Pr 2.89
S (0.2443, 0.2443, 0.7557)  1 Pu 2.83, 4 Pr 2.89
S (0.2443, 0.7557, 0.7557)  1 Pu 2.83, 4 Pr 2.89
S (0.7557, 0.2443, 0.2443)  1 Pu 2.83, 4 Pr 2.89
Pu (0.0000, 0.0000, 0.0000)  6 S 2.83

Values from the calculation:
The raw formation energy is -1992 meV/atom.

---

| no. | N(E_F) (states/eV/atom) | E (eV/atom) |
| --- | --- | --- |
| 1 | 1.87 | -5.15 |
| 2 | 1.14 | -10.78 |
| 3 | 0.87 | -5.62 |
| 4 | 1.23 | -6.20 |
| 5 | 0.74 | -3.57 |
| 6 | 1.01 | -7.06 |